In2NiBr, optimized geometry, DFT PBE; uncorrected formation energy = 0.130 eV/atom; density = 6.8 Mg/m³; space group = No. 65
1.0
5.2946 0.0138 0.0000
-0.0245 5.2945 0.0000
0.0000 0.0000 3.2098
Br In Ni
1 2 1
direct
0.0000 0.5000 0.5000
0.0000 0.0000 0.0000
0.5000 0.5000 0.0000
0.5000 0.0000 0.5000